# BeCuOs2

An optimized crystal structure of BeCuOs2 (GGA-PBE, Alexandria via LeMat-Bulk).

- energy of formation (eV per atom) = 0.219

Unit cell a=2.8022 b=2.8022 c=6.1812 alpha=90.00 beta=90.00 gamma=90.00
Closest atoms and distances in Å follow each position.
Space group P4/mmm (No. 123)
Unique sites:
1 Be 0.0000 0.0000 0.0000 [1 per cell]  8 Os 2.38
2 Cu 0.0000 0.0000 0.5000 [1 per cell]  8 Os 2.66, 4 Cu 2.80
3 Os 0.5000 0.5000 0.2124 [2 per cell]  4 Be 2.38, 1 Os 2.63, 4 Cu 2.66